# DyY3O

An optimized crystal structure of DyY3O (PBE-GGA, the Alexandria database).

Values from the calculation:
Energy above the lowest structure with this stoichiometry ... 0.0311 eV per atom
Crystal system ... cubic
VASP energy ... -6.865 eV/atom
Density of states at the Fermi level ... 5.251 states/eV per cell

a = 4.9607 Å, b = 4.9607 Å, c = 4.9607 Å
α = 90.00°, β = 90.00°, γ = 90.00°
Closest atoms and distances in Å follow each position.
Space group Pm-3m (No. 221)
Unique sites:
Dy1 0.0000 0.0000 0.0000  12 Y 3.51
Y1 0.0000 0.5000 0.5000  2 O 2.48
O1 0.5000 0.5000 0.5000  6 Y 2.48


# Dy2Y2O5

An optimized crystal structure of Dy2Y2O5 (PBE-GGA, the Alexandria database).

Values from the calculation:
Crystal system ... tetragonal
VASP energy ... -8.081 eV/atom
Density of states at the Fermi level ... 2.016 states/eV per cell

a = 3.9013 Å, b = 3.9013 Å, c = 9.8060 Å
α = 90.00°, β = 90.00°, γ = 90.00°
Closest atoms and distances in Å follow each position.
Space group P4/mmm (No. 123)
Unique sites:
Dy1 0.0000 0.0000 0.0000  8 O 2.39
Dy2 0.0000 0.0000 0.5000  4 O 2.76
Y1 0.5000 0.5000 0.2370  4 O 2.17
O1 0.0000 0.5000 0.1408  2 Y 2.17, 2 Dy 2.39
O2 0.5000 0.5000 0.5000  2 Y 2.58, 4 Dy 2.76


# DyY3O6

An optimized crystal structure of DyY3O6 (PBE-GGA, the Alexandria database).

Values from the calculation:
Energy above the lowest structure with this stoichiometry ... 0.3338 eV per atom
Crystal system ... orthorhombic
VASP energy ... -8.603 eV/atom
Density of states at the Fermi level ... 6.485 states/eV per cell

a = 7.8532 Å, b = 11.2832 Å, c = 3.5450 Å
α = 90.00°, β = 90.00°, γ = 90.00°
Closest atoms and distances in Å follow each position.
Space group Cmmm (No. 65)
Unique sites:
Dy1 0.0000 0.0000 0.0000  4 O 2.34
Y1 0.0000 0.5000 0.0000  4 O 2.14
Y2 0.2500 0.2500 0.5000  6 O 2.28-2.35
O1 0.0000 0.1357 0.5000  2 Dy 2.34, 2 Y 2.35
O2 0.2019 0.3722 0.0000  3 Y 2.14-2.28


# DyY7O12

An optimized crystal structure of DyY7O12 (PBE-GGA, the Alexandria database).

Values from the calculation:
Crystal system ... orthorhombic
VASP energy ... -9.025 eV/atom
Density of states at the Fermi level ... 0.000 states/eV per cell

a = 10.6975 Å, b = 10.6976 Å, c = 10.6998 Å
α = 90.00°, β = 90.00°, γ = 90.00°
Closest atoms and distances in Å follow each position.
Space group I2_12_12_1 (No. 24)
Unique sites:
Dy1 0.0000 0.2500 0.2173  6 O 2.26-2.35
Y1 0.0001 0.0000 0.0001  6 O 2.30-2.31
Y2 0.0000 0.2500 0.7174  6 O 2.27-2.36
Y3 0.2172 0.5000 0.2500  6 O 2.27-2.36
Y4 0.2175 0.0000 0.7500  6 O 2.27-2.36
Y5 0.2500 0.2175 0.0000  6 O 2.27-2.36
Y6 0.2500 0.2827 0.5000  6 O 2.27-2.36
O1 0.0984 0.1410 0.8702  4 Y 2.27-2.36
O2 0.0981 0.3588 0.3700  1 Dy 2.26, 3 Y 2.29-2.36
O3 0.1295 0.0988 0.1412  3 Y 2.27-2.36, 1 Dy 2.28
O4 0.1298 0.4017 0.6409  4 Y 2.27-2.36
O5 0.1411 0.1298 0.5983  4 Y 2.27-2.36
O6 0.1408 0.3701 0.0985  3 Y 2.27-2.30, 1 Dy 2.35


Which value of density of states at the Fermi level does entry 2 give? 2.016 states/eV per cell


Please write out number 3 again, unchanged.
# DyY3O6

An optimized crystal structure of DyY3O6 (PBE-GGA, the Alexandria database).

Values from the calculation:
Energy above the lowest structure with this stoichiometry ... 0.3338 eV per atom
Crystal system ... orthorhombic
VASP energy ... -8.603 eV/atom
Density of states at the Fermi level ... 6.485 states/eV per cell

a = 7.8532 Å, b = 11.2832 Å, c = 3.5450 Å
α = 90.00°, β = 90.00°, γ = 90.00°
Closest atoms and distances in Å follow each position.
Space group Cmmm (No. 65)
Unique sites:
Dy1 0.0000 0.0000 0.0000  4 O 2.34
Y1 0.0000 0.5000 0.0000  4 O 2.14
Y2 0.2500 0.2500 0.5000  6 O 2.28-2.35
O1 0.0000 0.1357 0.5000  2 Dy 2.34, 2 Y 2.35
O2 0.2019 0.3722 0.0000  3 Y 2.14-2.28